Entry 1:
The following is a DFT calculation (PBE) of a geometry-optimized Li2CaIr structure.

The structure in CIF format:
```
data_Li2CaIr
_cell_length_a 3.4460
_cell_length_b 3.4460
_cell_length_c 5.9118
_cell_angle_alpha 90.00
_cell_angle_beta 90.00
_cell_angle_gamma 90.00
_symmetry_space_group_name_H-M 'P 4/m m m'
_symmetry_Int_Tables_number 123
_symmetry_space_group_name_Hall '-P 4 2'
loop_
_atom_site_label
_atom_site_type_symbol
_atom_site_fract_x
_atom_site_fract_y
_atom_site_fract_z
Li1 Li 0.0000 0.0000 0.1817
Ca1 Ca 0.5000 0.5000 0.5000
Ir1 Ir 0.5000 0.5000 0.0000
```

Values from the calculation:
VASP energy ... -14.4 eV per cell

***

Entry 2:
The following is a DFT calculation (PBE) of a geometry-optimized Li2CaIr structure.

The structure in CIF format:
```
data_Li2CaIr
_cell_length_a 6.6412
_cell_length_b 6.6412
_cell_length_c 6.6412
_cell_angle_alpha 90.00
_cell_angle_beta 90.00
_cell_angle_gamma 90.00
_symmetry_space_group_name_H-M 'F -4 3 m'
_symmetry_Int_Tables_number 216
_symmetry_space_group_name_Hall 'F -4 2 3'
loop_
_atom_site_label
_atom_site_type_symbol
_atom_site_fract_x
_atom_site_fract_y
_atom_site_fract_z
Li1 Li 0.0000 0.0000 0.0000
Li2 Li 0.2500 0.2500 0.2500
Ca1 Ca 0.0000 0.0000 0.5000
Ir1 Ir 0.2500 0.2500 0.7500
```

Values from the calculation:
VASP energy ... -59.4 eV per cell

***

Entry 3:
The following is a DFT calculation (PBE) of a geometry-optimized Li2CaIr structure.

The structure in CIF format:
```
data_Li2CaIr
_cell_length_a 6.4500
_cell_length_b 6.4500
_cell_length_c 6.4500
_cell_angle_alpha 90.00
_cell_angle_beta 90.00
_cell_angle_gamma 90.00
_symmetry_space_group_name_H-M 'F m -3 m'
_symmetry_Int_Tables_number 225
_symmetry_space_group_name_Hall '-F 4 2 3'
loop_
_atom_site_label
_atom_site_type_symbol
_atom_site_fract_x
_atom_site_fract_y
_atom_site_fract_z
Li1 Li 0.2500 0.2500 0.2500
Ca1 Ca 0.0000 0.0000 0.0000
Ir1 Ir 0.0000 0.0000 0.5000
```

Values from the calculation:
VASP energy ... -59.9 eV per cell

***

Entry 4:
The following is a DFT calculation (PBE) of a geometry-optimized LiCa3Ir structure.

The structure in CIF format:
```
data_LiCa3Ir
_cell_length_a 4.4285
_cell_length_b 9.1057
_cell_length_c 6.9807
_cell_angle_alpha 90.00
_cell_angle_beta 90.00
_cell_angle_gamma 90.00
_symmetry_space_group_name_H-M 'P m m n'
_symmetry_Int_Tables_number 59
loop_
_symmetry_equiv_pos_as_xyz
'x,y,z'
'-x,-y,-z'
'-x+1/2,-y+1/2,z'
'x+1/2,y+1/2,-z'
'x+1/2,-y,-z'
'-x+1/2,y,z'
'-x,y+1/2,-z'
'x,-y+1/2,z'
loop_
_atom_site_label
_atom_site_type_symbol
_atom_site_fract_x
_atom_site_fract_y
_atom_site_fract_z
Li1 Li 0.2500 0.2500 0.1048
Ca1 Ca 0.2500 0.5561 0.6815
Ca2 Ca 0.2500 0.7500 0.2452
Ir1 Ir 0.2500 0.2500 0.4814
```

Values from the calculation:
VASP energy ... -35.8 eV per cell

***

Entry 5:
The following is a DFT calculation (PBE) of a geometry-optimized LiCaMgIr structure.

The structure in CIF format:
```
data_LiCaMgIr
_cell_length_a 6.7394
_cell_length_b 6.7394
_cell_length_c 6.7394
_cell_angle_alpha 90.00
_cell_angle_beta 90.00
_cell_angle_gamma 90.00
_symmetry_space_group_name_H-M 'F -4 3 m'
_symmetry_Int_Tables_number 216
_symmetry_space_group_name_Hall 'F -4 2 3'
loop_
_atom_site_label
_atom_site_type_symbol
_atom_site_fract_x
_atom_site_fract_y
_atom_site_fract_z
Li1 Li 0.0000 0.0000 0.0000
Ca1 Ca 0.2500 0.2500 0.7500
Mg1 Mg 0.2500 0.2500 0.2500
Ir1 Ir 0.0000 0.0000 0.5000
```

Values from the calculation:
VASP energy ... -61.3 eV per cell

***

Entry 6:
The following is a DFT calculation (PBE) of a geometry-optimized LiCa2IrN2 structure.

The structure in CIF format:
```
data_LiCa2IrN2
_cell_length_a 5.9066
_cell_length_b 8.5291
_cell_length_c 3.8503
_cell_angle_alpha 90.00
_cell_angle_beta 90.00
_cell_angle_gamma 90.00
_symmetry_space_group_name_H-M 'P n n m'
_symmetry_Int_Tables_number 58
_symmetry_space_group_name_Hall '-P 2 2n'
loop_
_atom_site_label
_atom_site_type_symbol
_atom_site_fract_x
_atom_site_fract_y
_atom_site_fract_z
Li1 Li 0.0000 0.0000 0.0000
Ca1 Ca 0.1320 0.2538 0.5000
Ir1 Ir 0.0000 0.5000 0.0000
N1 N 0.2045 0.9011 0.5000
```

Values from the calculation:
VASP energy ... -67.7 eV per cell
ΔE_f (raw) ... -2.44 eV/f.u.

***

Entry 7:
The following is a DFT calculation (PBE) of a geometry-optimized LiCa2IrN structure.

The structure in CIF format:
```
data_LiCa2IrN
_cell_length_a 5.0677
_cell_length_b 5.0677
_cell_length_c 3.8370
_cell_angle_alpha 90.00
_cell_angle_beta 90.00
_cell_angle_gamma 90.00
_symmetry_space_group_name_H-M 'P 4/m m m'
_symmetry_Int_Tables_number 123
_symmetry_space_group_name_Hall '-P 4 2'
loop_
_atom_site_label
_atom_site_type_symbol
_atom_site_fract_x
_atom_site_fract_y
_atom_site_fract_z
Li1 Li 0.0000 0.0000 0.0000
Ca1 Ca 0.0000 0.5000 0.5000
Ir1 Ir 0.5000 0.5000 0.0000
N1 N 0.5000 0.5000 0.5000
```

Values from the calculation:
VASP energy ... -25.5 eV per cell
ΔE_f (raw) ... -2.36 eV/f.u.

***

Entry 8:
The following is a DFT calculation (PBE) of a geometry-optimized NaLi2CaIr structure.

The structure in CIF format:
```
data_NaLi2CaIr
_cell_length_a 4.5821
_cell_length_b 4.5821
_cell_length_c 5.1839
_cell_angle_alpha 90.00
_cell_angle_beta 90.00
_cell_angle_gamma 90.00
_symmetry_space_group_name_H-M 'P 4/m m m'
_symmetry_Int_Tables_number 123
_symmetry_space_group_name_Hall '-P 4 2'
loop_
_atom_site_label
_atom_site_type_symbol
_atom_site_fract_x
_atom_site_fract_y
_atom_site_fract_z
Na1 Na 0.0000 0.0000 0.0000
Li1 Li 0.0000 0.5000 0.0000
Ca1 Ca 0.5000 0.5000 0.5000
Ir1 Ir 0.0000 0.0000 0.5000
```

Values from the calculation:
VASP energy ... -13.6 eV per cell

***

no.,total magnetic moment (μB per formula unit)
1,0.0
2,0.0
3,0.0
4,0.0
5,0.0
6,0.0
7,0.0
8,0.0